Zn12CuPd3 (PBE, optimized geometry); space group = P4/mmm (123); DOS(E_F) = 0.12 states/eV per atom; VASP energy = -39.17 eV/f.u.; total moment = 0.00 μB/f.u.
1.0
3.866 0.000 0.000
0.000 3.866 0.000
0.000 0.000 15.346
Zn Cu Pd
12 1 3
Direct
0.000 0.000 0.000
0.000 0.000 0.248
0.000 0.000 0.500
0.000 0.000 0.752
0.000 0.500 0.121
0.000 0.500 0.374
0.000 0.500 0.626
0.000 0.500 0.879
0.500 0.000 0.121
0.500 0.000 0.374
0.500 0.000 0.626
0.500 0.000 0.879
0.500 0.500 0.000
0.500 0.500 0.247
0.500 0.500 0.500
0.500 0.500 0.753

***

EuLuP (PBE, optimized geometry); space group = P3m1 (156); DOS(E_F) = 0.60 states/eV per atom; VASP energy = -22.24 eV/f.u.; total moment = 7.21 μB/f.u.
1.0
4.539 0.000 0.000
-2.269 3.931 0.000
0.000 0.000 4.623
Eu Lu P
1 1 1
Direct
0.000 0.000 0.000
0.667 0.333 0.497
0.333 0.667 0.400

***

Ac2Sn2Hg (PBE, optimized geometry); space group = C2/m (12); DOS(E_F) = 0.66 states/eV per atom; total moment = 0.00 μB/f.u.; offset from the most stable computed form = 0.0110 eV per atom
1.0
6.198 -2.458 0.000
6.198 2.458 0.000
-5.090 0.000 10.615
Ac Sn Hg
4 4 2
Direct
0.004 0.004 0.329
0.184 0.184 0.107
0.816 0.816 0.893
0.996 0.996 0.671
0.354 0.354 0.431
0.461 0.461 0.106
0.539 0.539 0.894
0.646 0.646 0.569
0.294 0.294 0.660
0.706 0.706 0.340

***

K2TaTiS (PBE, optimized geometry); space group = P4/mmm (123); DOS(E_F) = 1.35 states/eV per atom; formation energy without anion corrections = 1123.0 meV/atom; total moment = 0.11 μB/f.u.
1.0
6.934 0.000 0.000
0.000 6.934 0.000
0.000 0.000 4.641
K Ta Ti S
2 1 1 1
Direct
0.000 0.500 0.000
0.500 0.000 0.000
0.000 0.000 0.000
0.500 0.500 0.500
0.000 0.000 0.500

***

La2Zn5Ir3 (PBE, optimized geometry); space group = C2/c (15); DOS(E_F) = 0.47 states/eV per atom; total moment = 0.00 μB/f.u.; offset from the most stable computed form = 0.0000 eV per atom
1.0
6.288 -5.905 0.000
6.288 5.905 0.000
-2.683 0.000 5.167
La Zn Ir
4 10 6
Direct
0.109 0.370 0.239
0.370 0.109 0.739
0.630 0.891 0.261
0.891 0.630 0.761
0.000 0.000 0.250
0.000 0.000 0.750
0.246 0.463 0.855
0.269 0.731 0.250
0.270 0.730 0.750
0.463 0.246 0.355
0.537 0.754 0.645
0.730 0.270 0.250
0.731 0.269 0.750
0.754 0.537 0.145
0.003 0.733 0.369
0.267 0.997 0.131
0.500 0.500 0.250
0.500 0.500 0.750
0.733 0.003 0.869
0.997 0.267 0.631

***

Na2Li5TlHg2 (PBE, optimized geometry); space group = P4/mbm (127); DOS(E_F) = 0.27 states/eV per atom; VASP energy = -17.19 eV/f.u.; total moment = 0.00 μB/f.u.
1.0
10.450 0.000 0.000
0.000 10.450 0.000
0.000 0.000 4.108
Na Li Tl Hg
4 10 2 4
Direct
0.175 0.325 0.000
0.325 0.825 0.000
0.675 0.175 0.000
0.825 0.675 0.000
0.000 0.500 0.500
0.065 0.800 0.500
0.200 0.065 0.500
0.300 0.565 0.500
0.435 0.300 0.500
0.500 0.000 0.500
0.565 0.700 0.500
0.700 0.435 0.500
0.800 0.935 0.500
0.935 0.200 0.500
0.000 0.000 0.000
0.500 0.500 0.000
0.121 0.621 0.000
0.379 0.121 0.000
0.621 0.879 0.000
0.879 0.379 0.000

***

Y4ZnInO (PBE, optimized geometry); space group = Cmcm (63); DOS(E_F) = 0.59 states/eV per atom; formation energy without anion corrections = -1025.6 meV/atom; total moment = 0.00 μB/f.u.
1.0
3.284 -7.890 0.000
3.284 7.890 0.000
0.000 0.000 6.585
Y Zn In O
8 2 2 2
Direct
0.000 0.500 0.000
0.000 0.500 0.500
0.069 0.931 0.750
0.418 0.582 0.750
0.500 0.000 0.000
0.500 0.000 0.500
0.582 0.418 0.250
0.931 0.069 0.250
0.121 0.879 0.250
0.879 0.121 0.750
0.388 0.612 0.250
0.612 0.388 0.750
0.254 0.746 0.750
0.746 0.254 0.250

***

Ba3Hg2Bi2Au4 (PBE, optimized geometry); space group = P-3m1 (164); DOS(E_F) = 0.89 states/eV per atom; VASP energy = -32.85 eV/f.u.; total moment = 0.00 μB/f.u.
1.0
5.002 0.000 0.000
-2.501 4.332 0.000
0.000 0.000 16.155
Ba Hg Bi Au
3 2 2 4
Direct
0.000 0.000 0.000
0.000 0.000 0.270
0.000 0.000 0.730
0.333 0.667 0.133
0.667 0.333 0.867
0.333 0.667 0.584
0.667 0.333 0.416
0.333 0.667 0.396
0.333 0.667 0.873
0.667 0.333 0.127
0.667 0.333 0.604